1.
Compound: PuCl3F
Source: Alexandria
Functional: GGA-PBE
Structure: optimized geometry

Values from the calculation:
Its formation energy (no corrections) is -199 kJ/mol of atoms. The excess energy over the best structure of this formula in the dataset comes out at 0.000 eV/atom. Its symmetry is No. 74. The calculation puts the density of states at the Fermi level at 1.79 states/eV/atom.

Cell lengths 7.550, 7.550, 7.549 Å; angles 99.47, 111.41, 118.07 degrees
Atoms (fractional coordinates):
1 Pu 0.532 0.032 0.000
2 Pu 0.032 0.532 0.000
3 Cl 0.031 0.276 0.744
4 Cl 0.031 0.787 0.255
5 Cl 0.532 0.776 0.745
6 Cl 0.003 0.282 0.221
7 Cl 0.532 0.287 0.256
8 Cl 0.060 0.782 0.779
9 F 0.417 0.782 0.135
10 F 0.647 0.282 0.865


2.
Compound: Tm4Ni2HgRu
Source: Alexandria
Functional: GGA-PBE
Structure: optimized geometry

Values from the calculation:
For the calculated formation energy, the calculation gives -3.6 eV per formula unit. Its symmetry is No. 166. The calculation puts the density of states at the Fermi level at 0.62 states/eV/atom.

Cell lengths 4.840, 4.840, 8.495 Å; angles 73.45, 73.45, 60.00 degrees
Atoms (fractional coordinates):
1 Tm 0.383 0.383 0.850
2 Tm 0.870 0.870 0.390
3 Tm 0.130 0.130 0.610
4 Tm 0.617 0.617 0.150
5 Ni 0.754 0.754 0.739
6 Ni 0.246 0.246 0.261
7 Hg 0.000 0.000 0.000
8 Ru 0.500 0.500 0.500


3.
Compound: Th4InIr
Source: Alexandria
Functional: GGA-PBE
Structure: optimized geometry

Values from the calculation:
For the calculated formation energy, the calculation gives -2.5 eV per formula unit. The excess energy over the best structure of this formula in the dataset comes out at 0.000 eV/atom. Its symmetry is No. 216. The calculation puts the density of states at the Fermi level at 1.07 states/eV/atom.

Cell lengths 9.955, 9.955, 9.955 Å; angles 60.00, 60.00, 60.00 degrees
Atoms (fractional coordinates):
1 Th 0.402 0.402 0.402
2 Th 0.794 0.402 0.402
3 Th 0.402 0.794 0.402
4 Th 0.402 0.402 0.794
5 Th 0.551 0.551 0.949
6 Th 0.949 0.949 0.551
7 Th 0.551 0.949 0.551
8 Th 0.949 0.551 0.949
9 Th 0.949 0.551 0.551
10 Th 0.551 0.949 0.949
11 Th 0.182 0.182 0.818
12 Th 0.818 0.818 0.182
13 Th 0.182 0.818 0.182
14 Th 0.818 0.182 0.818
15 Th 0.818 0.182 0.182
16 Th 0.182 0.818 0.818
17 In 0.169 0.169 0.169
18 In 0.492 0.169 0.169
19 In 0.169 0.492 0.169
20 In 0.169 0.169 0.492
21 Ir 0.609 0.609 0.609
22 Ir 0.172 0.609 0.609
23 Ir 0.609 0.172 0.609
24 Ir 0.609 0.609 0.172


4.
Compound: Li4La2Sn3Pb
Source: Alexandria
Functional: GGA-PBE
Structure: optimized geometry

Values from the calculation:
For the calculated formation energy, the calculation gives -5.3 eV per formula unit. Its symmetry is No. 115. The calculation puts the density of states at the Fermi level at 0.50 states/eV/atom.

Cell lengths 4.648, 4.648, 10.955 Å; angles 90.00, 90.00, 90.00 degrees
Atoms (fractional coordinates):
1 Li 0.500 0.500 0.000
2 Li 0.000 0.000 0.000
3 Li 0.500 0.000 0.638
4 Li 0.000 0.500 0.362
5 La 0.500 0.000 0.240
6 La 0.000 0.500 0.760
7 Sn 0.000 0.000 0.500
8 Sn 0.500 0.000 0.874
9 Sn 0.000 0.500 0.126
10 Pb 0.500 0.500 0.500


5.
Compound: SrYBeGe2
Source: Alexandria
Functional: GGA-PBE
Structure: optimized geometry

Values from the calculation:
For the calculated formation energy, the calculation gives 5.0 eV per formula unit. Its symmetry is No. 123. The calculation puts the density of states at the Fermi level at 0.72 states/eV/atom.

Cell lengths 5.349, 4.966, 5.349 Å; angles 90.00, 90.00, 90.00 degrees
Atoms (fractional coordinates):
1 Y 0.500 0.500 0.500
2 Sr 0.000 0.000 0.000
3 Ge 0.000 0.000 0.500
4 Ge 0.500 0.000 0.000
5 Be 0.000 0.500 0.000


6.
Compound: Be3TeN
Source: Alexandria
Functional: GGA-PBE
Structure: optimized geometry

Values from the calculation:
Its formation energy (no corrections) is 23 kJ/mol of atoms. The excess energy over the best structure of this formula in the dataset comes out at 0.000 eV/atom. Its symmetry is No. 221. The calculation puts the density of states at the Fermi level at 0.46 states/eV/atom.

Cell lengths 3.839, 3.839, 3.839 Å; angles 90.00, 90.00, 90.00 degrees
Atoms (fractional coordinates):
1 Be 0.000 0.500 0.000
2 Be 0.000 0.000 0.500
3 Be 0.500 0.000 0.000
4 Te 0.500 0.500 0.500
5 N 0.000 0.000 0.000


7.
Compound: TlFeS2N
Source: Alexandria
Functional: GGA-PBE
Structure: optimized geometry

Values from the calculation:
Its formation energy (no corrections) is 163 kJ/mol of atoms. The excess energy over the best structure of this formula in the dataset comes out at 1.406 eV/atom. Its symmetry is No. 123. The calculation puts the density of states at the Fermi level at 1.97 states/eV/atom.

Cell lengths 5.164, 5.164, 4.089 Å; angles 90.00, 90.00, 90.00 degrees
Atoms (fractional coordinates):
1 S 0.000 0.500 0.000
2 S 0.500 0.000 0.000
3 Tl 0.000 0.000 0.000
4 Fe 0.500 0.500 0.500
5 N 0.000 0.000 0.500


8.
Compound: Pm3Mg9Cd2
Source: Alexandria
Functional: GGA-PBE
Structure: optimized geometry

Values from the calculation:
For the calculated formation energy, the calculation gives -1.3 eV per formula unit. Its symmetry is No. 71. The calculation puts the density of states at the Fermi level at 0.91 states/eV/atom.

Cell lengths 4.952, 8.893, 8.893 Å; angles 80.59, 73.83, 73.83 degrees
Atoms (fractional coordinates):
1 Pm 0.000 0.000 0.000
2 Pm 0.712 0.288 0.288
3 Pm 0.288 0.712 0.712
4 Mg 0.000 0.500 0.500
5 Mg 0.635 0.994 0.737
6 Mg 0.365 0.006 0.263
7 Mg 0.635 0.737 0.994
8 Mg 0.365 0.263 0.006
9 Mg 0.858 0.868 0.417
10 Mg 0.142 0.132 0.583
11 Mg 0.858 0.417 0.868
12 Mg 0.142 0.583 0.132
13 Cd 0.500 0.337 0.663
14 Cd 0.500 0.663 0.337


9.
Compound: ZnGaBH2
Source: Alexandria
Functional: GGA-PBE
Structure: optimized geometry

Values from the calculation:
The value obtained for the raw total energy is -2.78 eV/atom. Its symmetry is No. 123. The calculation puts the density of states at the Fermi level at 0.24 states/eV/atom.

Cell lengths 3.478, 4.372, 3.478 Å; angles 90.00, 90.00, 90.00 degrees
Atoms (fractional coordinates):
1 H 0.000 0.000 0.500
2 H 0.500 0.000 0.000
3 Zn 0.000 0.500 0.000
4 B 0.000 0.000 0.000
5 Ga 0.500 0.500 0.500


10.
Compound: La4ErTe5
Source: Alexandria
Functional: GGA-PBE
Structure: optimized geometry

Values from the calculation:
Its formation energy (no corrections) is -146 kJ/mol of atoms. The excess energy over the best structure of this formula in the dataset comes out at 0.000 eV/atom. Its symmetry is No. 79. The calculation puts the density of states at the Fermi level at 0.65 states/eV/atom.

Cell lengths 6.420, 7.842, 7.842 Å; angles 80.35, 65.84, 65.84 degrees
Atoms (fractional coordinates):
1 La 0.407 0.399 0.788
2 La 0.806 0.788 0.601
3 La 0.195 0.212 0.399
4 La 0.595 0.601 0.212
5 Er 0.002 0.000 0.000
6 Te 0.901 0.387 0.814
7 Te 0.287 0.814 0.613
8 Te 0.715 0.186 0.387
9 Te 0.101 0.613 0.186
10 Te 0.501 0.000 0.000


11.
Compound: Ba2SrSc2
Source: Alexandria
Functional: GGA-PBE
Structure: optimized geometry

Values from the calculation:
For the calculated formation energy, the calculation gives 1.6 eV per formula unit. The excess energy over the best structure of this formula in the dataset comes out at 0.000 eV/atom. Its symmetry is No. 139. The calculation puts the density of states at the Fermi level at 1.23 states/eV/atom.

Cell lengths 4.200, 4.200, 13.567 Å; angles 81.10, 81.10, 90.00 degrees
Atoms (fractional coordinates):
1 Sc 0.750 0.250 0.500
2 Sc 0.250 0.750 0.500
3 Sr 0.000 0.000 0.000
4 Ba 0.372 0.372 0.256
5 Ba 0.628 0.628 0.744


12.
Compound: BaMgTaO4
Source: Alexandria
Functional: GGA-PBE
Structure: optimized geometry

Values from the calculation:
Its formation energy (no corrections) is -237 kJ/mol of atoms. Its symmetry is No. 216. The calculation puts the density of states at the Fermi level at 0.36 states/eV/atom.

Cell lengths 6.161, 6.161, 6.161 Å; angles 60.00, 60.00, 60.00 degrees
Atoms (fractional coordinates):
1 Ba 0.750 0.750 0.750
2 Mg 0.500 0.500 0.500
3 Ta 0.250 0.250 0.250
4 O 0.373 0.373 0.880
5 O 0.373 0.373 0.373
6 O 0.373 0.880 0.373
7 O 0.880 0.373 0.373